The following is a DFT calculation (GGA-PBE) of crystalline Y2ZrAs at its relaxed geometry.

The calculation puts the total energy at -27.54 eV for the cell shown. As for the space group: Immm (71).

Geometry as CIF:
```
data_Y2ZrAs
_chemical_formula_sum 'Y2 Zr1 As1'
_cell_length_a 6.371
_cell_length_b 6.371
_cell_length_c 6.371
_cell_angle_alpha 146.23
_cell_angle_beta 134.89
_cell_angle_gamma 57.52
_symmetry_space_group_name_H-M 'P 1'
_symmetry_Int_Tables_number 1
loop_
_symmetry_equiv_pos_as_xyz
'x,y,z'
loop_
_atom_site_label
_atom_site_type_symbol
_atom_site_fract_x
_atom_site_fract_y
_atom_site_fract_z
Y1 Y 0.197 0.197 0.000
Y2 Y 0.803 0.803 0.000
Zr1 Zr 0.500 0.000 0.500
As1 As 0.000 0.500 0.500
```

---

The following is a DFT calculation (GGA-PBE) of crystalline Y4ZrAs5 at its relaxed geometry.

The calculation puts the total energy at -72.27 eV for the cell shown. As for the space group: I4/m (87).

Geometry as CIF:
```
data_Y4ZrAs5
_chemical_formula_sum 'Y4 Zr1 As5'
_cell_length_a 7.038
_cell_length_b 7.038
_cell_length_c 7.038
_cell_angle_alpha 99.62
_cell_angle_beta 99.62
_cell_angle_gamma 131.74
_symmetry_space_group_name_H-M 'P 1'
_symmetry_Int_Tables_number 1
loop_
_symmetry_equiv_pos_as_xyz
'x,y,z'
loop_
_atom_site_label
_atom_site_type_symbol
_atom_site_fract_x
_atom_site_fract_y
_atom_site_fract_z
Y1 Y 0.097 0.300 0.398
Y2 Y 0.300 0.903 0.203
Y3 Y 0.700 0.097 0.797
Y4 Y 0.903 0.700 0.602
Zr1 Zr 0.500 0.500 0.000
As1 As 0.000 0.000 0.000
As2 As 0.208 0.598 0.806
As3 As 0.402 0.208 0.611
As4 As 0.598 0.792 0.389
As5 As 0.792 0.402 0.194
```

---

The following is a DFT calculation (GGA-PBE) of crystalline Y2ZrAs at its relaxed geometry.

The calculation puts the total energy at -28.17 eV for the cell shown. As for the space group: P4mm (99).

Geometry as CIF:
```
data_Y2ZrAs
_chemical_formula_sum 'Y2 Zr1 As1'
_cell_length_a 3.630
_cell_length_b 3.630
_cell_length_c 7.645
_cell_angle_alpha 90.00
_cell_angle_beta 90.00
_cell_angle_gamma 90.00
_symmetry_space_group_name_H-M 'P 1'
_symmetry_Int_Tables_number 1
loop_
_symmetry_equiv_pos_as_xyz
'x,y,z'
loop_
_atom_site_label
_atom_site_type_symbol
_atom_site_fract_x
_atom_site_fract_y
_atom_site_fract_z
Y1 Y 0.000 0.000 0.000
Y2 Y 0.500 0.500 0.330
Zr1 Zr 0.000 0.000 0.599
As1 As 0.500 0.500 0.757
```

---

The following is a DFT calculation (GGA-PBE) of crystalline YbAs at its relaxed geometry.

The calculation puts the total energy at -8.41 eV for the cell shown. As for the space group: Fm-3m (225).

Geometry as CIF:
```
data_YbAs
_chemical_formula_sum 'Yb1 As1'
_cell_length_a 4.125
_cell_length_b 4.125
_cell_length_c 4.125
_cell_angle_alpha 60.00
_cell_angle_beta 60.00
_cell_angle_gamma 60.00
_symmetry_space_group_name_H-M 'P 1'
_symmetry_Int_Tables_number 1
loop_
_symmetry_equiv_pos_as_xyz
'x,y,z'
loop_
_atom_site_label
_atom_site_type_symbol
_atom_site_fract_x
_atom_site_fract_y
_atom_site_fract_z
Yb1 Yb 0.000 0.000 0.000
As1 As 0.500 0.500 0.500
```

---

The following is a DFT calculation (GGA-PBE) of crystalline YbAs3 at its relaxed geometry.

The calculation puts the total energy at -17.25 eV for the cell shown. As for the space group: Pm-3m (221).

Geometry as CIF:
```
data_YbAs3
_chemical_formula_sum 'Yb1 As3'
_cell_length_a 4.347
_cell_length_b 4.347
_cell_length_c 4.347
_cell_angle_alpha 90.00
_cell_angle_beta 90.00
_cell_angle_gamma 90.00
_symmetry_space_group_name_H-M 'P 1'
_symmetry_Int_Tables_number 1
loop_
_symmetry_equiv_pos_as_xyz
'x,y,z'
loop_
_atom_site_label
_atom_site_type_symbol
_atom_site_fract_x
_atom_site_fract_y
_atom_site_fract_z
Yb1 Yb 0.000 0.000 0.000
As1 As 0.000 0.500 0.500
As2 As 0.500 0.000 0.500
As3 As 0.500 0.500 0.000
```

---

The following is a DFT calculation (GGA-PBE) of crystalline Yb4As3 at its relaxed geometry.

The calculation puts the total energy at -57.92 eV for the cell shown. As for the space group: I-43d (220).

Geometry as CIF:
```
data_Yb4As3
_chemical_formula_sum 'Yb8 As6'
_cell_length_a 7.640
_cell_length_b 7.640
_cell_length_c 7.640
_cell_angle_alpha 109.47
_cell_angle_beta 109.47
_cell_angle_gamma 109.47
_symmetry_space_group_name_H-M 'P 1'
_symmetry_Int_Tables_number 1
loop_
_symmetry_equiv_pos_as_xyz
'x,y,z'
loop_
_atom_site_label
_atom_site_type_symbol
_atom_site_fract_x
_atom_site_fract_y
_atom_site_fract_z
Yb1 Yb 0.000 0.363 0.500
Yb2 Yb 0.000 0.863 0.500
Yb3 Yb 0.137 0.137 0.137
Yb4 Yb 0.363 0.500 0.000
Yb5 Yb 0.500 0.000 0.363
Yb6 Yb 0.500 0.000 0.863
Yb7 Yb 0.637 0.637 0.637
Yb8 Yb 0.863 0.500 0.000
As1 As 0.125 0.750 0.875
As2 As 0.250 0.625 0.375
As3 As 0.375 0.250 0.625
As4 As 0.625 0.375 0.250
As5 As 0.750 0.875 0.125
As6 As 0.875 0.125 0.750
```

---

The following is a DFT calculation (GGA-PBE) of crystalline YbZn2As2 at its relaxed geometry.

The calculation puts the total energy at -16.66 eV for the cell shown. As for the space group: P-3m1 (164).

Geometry as CIF:
```
data_YbZn2As2
_chemical_formula_sum 'Yb1 Zn2 As2'
_cell_length_a 4.204
_cell_length_b 4.204
_cell_length_c 6.884
_cell_angle_alpha 90.00
_cell_angle_beta 90.00
_cell_angle_gamma 120.00
_symmetry_space_group_name_H-M 'P 1'
_symmetry_Int_Tables_number 1
loop_
_symmetry_equiv_pos_as_xyz
'x,y,z'
loop_
_atom_site_label
_atom_site_type_symbol
_atom_site_fract_x
_atom_site_fract_y
_atom_site_fract_z
Yb1 Yb 0.000 0.000 0.000
Zn1 Zn 0.333 0.667 0.366
Zn2 Zn 0.667 0.333 0.634
As1 As 0.333 0.667 0.745
As2 As 0.667 0.333 0.255
```

---

The following is a DFT calculation (GGA-PBE) of crystalline Zn3As at its relaxed geometry.

The calculation puts the total energy at -7.97 eV for the cell shown. As for the space group: Pm-3m (221).

Geometry as CIF:
```
data_Zn3As
_chemical_formula_sum 'Zn3 As1'
_cell_length_a 4.052
_cell_length_b 4.052
_cell_length_c 4.052
_cell_angle_alpha 90.00
_cell_angle_beta 90.00
_cell_angle_gamma 90.00
_symmetry_space_group_name_H-M 'P 1'
_symmetry_Int_Tables_number 1
loop_
_symmetry_equiv_pos_as_xyz
'x,y,z'
loop_
_atom_site_label
_atom_site_type_symbol
_atom_site_fract_x
_atom_site_fract_y
_atom_site_fract_z
Zn1 Zn 0.000 0.000 0.500
Zn2 Zn 0.000 0.500 0.000
Zn3 Zn 0.500 0.000 0.000
As1 As 0.500 0.500 0.500
```

---

The following is a DFT calculation (GGA-PBE) of crystalline ZnAs3 at its relaxed geometry.

The calculation puts the total energy at -13.72 eV for the cell shown. As for the space group: Pm-3m (221).

Geometry as CIF:
```
data_ZnAs3
_chemical_formula_sum 'Zn1 As3'
_cell_length_a 4.235
_cell_length_b 4.235
_cell_length_c 4.235
_cell_angle_alpha 90.00
_cell_angle_beta 90.00
_cell_angle_gamma 90.00
_symmetry_space_group_name_H-M 'P 1'
_symmetry_Int_Tables_number 1
loop_
_symmetry_equiv_pos_as_xyz
'x,y,z'
loop_
_atom_site_label
_atom_site_type_symbol
_atom_site_fract_x
_atom_site_fract_y
_atom_site_fract_z
Zn1 Zn 0.000 0.000 0.000
As1 As 0.000 0.500 0.500
As2 As 0.500 0.000 0.500
As3 As 0.500 0.500 0.000
```

---

The following is a DFT calculation (GGA-PBE) of crystalline ZnAs4 at its relaxed geometry.

The calculation puts the total energy at -15.74 eV for the cell shown. As for the space group: Pm-3m (221).

Geometry as CIF:
```
data_ZnAs4
_chemical_formula_sum 'Zn1 As4'
_cell_length_a 4.814
_cell_length_b 4.814
_cell_length_c 4.814
_cell_angle_alpha 90.00
_cell_angle_beta 90.00
_cell_angle_gamma 90.00
_symmetry_space_group_name_H-M 'P 1'
_symmetry_Int_Tables_number 1
loop_
_symmetry_equiv_pos_as_xyz
'x,y,z'
loop_
_atom_site_label
_atom_site_type_symbol
_atom_site_fract_x
_atom_site_fract_y
_atom_site_fract_z
Zn1 Zn 0.000 0.000 0.000
As1 As 0.000 0.000 0.500
As2 As 0.000 0.500 0.000
As3 As 0.500 0.000 0.000
As4 As 0.500 0.500 0.500
```

---

The following is a DFT calculation (GGA-PBE) of crystalline ZnAs3 at its relaxed geometry.

The calculation puts the total energy at -14.25 eV for the cell shown. As for the space group: Immm (71).

Geometry as CIF:
```
data_ZnAs3
_chemical_formula_sum 'Zn1 As3'
_cell_length_a 6.062
_cell_length_b 6.062
_cell_length_c 6.062
_cell_angle_alpha 144.50
_cell_angle_beta 142.87
_cell_angle_gamma 52.31
_symmetry_space_group_name_H-M 'P 1'
_symmetry_Int_Tables_number 1
loop_
_symmetry_equiv_pos_as_xyz
'x,y,z'
loop_
_atom_site_label
_atom_site_type_symbol
_atom_site_fract_x
_atom_site_fract_y
_atom_site_fract_z
Zn1 Zn 0.000 0.000 0.000
As1 As 0.302 0.802 0.500
As2 As 0.500 0.500 0.000
As3 As 0.698 0.198 0.500
```

---

The following is a DFT calculation (GGA-PBE) of crystalline ZnAs5 at its relaxed geometry.

The calculation puts the total energy at -21.69 eV for the cell shown. As for the space group: P6/mmm (191).

Geometry as CIF:
```
data_ZnAs5
_chemical_formula_sum 'Zn1 As5'
_cell_length_a 5.459
_cell_length_b 5.459
_cell_length_c 4.960
_cell_angle_alpha 90.00
_cell_angle_beta 90.00
_cell_angle_gamma 120.00
_symmetry_space_group_name_H-M 'P 1'
_symmetry_Int_Tables_number 1
loop_
_symmetry_equiv_pos_as_xyz
'x,y,z'
loop_
_atom_site_label
_atom_site_type_symbol
_atom_site_fract_x
_atom_site_fract_y
_atom_site_fract_z
Zn1 Zn 0.000 0.000 0.000
As1 As 0.000 0.500 0.500
As2 As 0.333 0.667 0.000
As3 As 0.500 0.000 0.500
As4 As 0.500 0.500 0.500
As5 As 0.667 0.333 0.000
```